First-principles (PBE with a Hubbard U) data for a geometry-optimized Nd2VF8 structure, as listed in Alexandria.

Computed properties:
For the total energy, the calculation gives -6.52 eV/atom. Its density of states at the Fermi level is 0.000 states/eV/cell.

Lattice parameters (Å, degrees): 3.6797 6.1190 7.0655 102.66 105.09 90.00
Last column: nearest neighbours and their distance in Å.
Positions (direct):
F  0.5976  0.5166  0.1953  2 Nd 2.29
F  0.3346  0.0154  0.6691  1 V 2.28, 1 Nd 2.55
F  0.2108  0.3319  0.4216  3 Nd 2.40-2.43, 1 F 2.57
F  0.0207  0.8136  0.0415  2 V 2.22, 1 Nd 2.38, 1 F 2.47
F  0.7892  0.6681  0.5784  3 Nd 2.40-2.43, 1 F 2.57
F  0.6654  0.9846  0.3309  1 V 2.28, 1 Nd 2.55
F  0.4024  0.4834  0.8047  2 Nd 2.29
F  0.9793  0.1864  0.9585  2 V 2.22, 1 Nd 2.38, 1 F 2.47
Nd  0.1762  0.6989  0.3524  7 F 2.29-2.55
Nd  0.8238  0.3011  0.6476  7 F 2.29-2.55
V  0.5000  0.0000  0.0000  6 F 2.22-2.28